Record 1
# PBE-GGA ReTe2Se, relaxed
data_ReTe2Se
_chemical_formula_sum 'Re2 Te4 Se2'
_cell_length_a 5.9116
_cell_length_b 7.8595
_cell_length_c 4.9132
_cell_angle_alpha 90.00
_cell_angle_beta 126.79
_cell_angle_gamma 90.00
_symmetry_space_group_name_H-M 'C 1 2/m 1'
_symmetry_Int_Tables_number 12
loop_
_symmetry_equiv_pos_as_xyz
'x,y,z'
'-x,-y,-z'
'-x,y,-z'
'x,-y,z'
'x+1/2,y+1/2,z'
'-x+1/2,-y+1/2,-z'
'-x+1/2,y+1/2,-z'
'x+1/2,-y+1/2,z'
loop_
_atom_site_label
_atom_site_type_symbol
_atom_site_fract_x
_atom_site_fract_y
_atom_site_fract_z
_atom_site_occupancy
Re1 Re 0.0000 0.0000 0.0000 1
Te1 Te 0.2500 0.2500 0.5000 1
Se1 Se 0.0000 0.5000 0.0000 1
# E_tot = -4.753 eV per atom
# Energy relative to the elements, uncorrected = 0.801 eV per atom
# Volume = 182.8 Å³ per cell
# Total magnetic moment = 0.00 μB per formula unit

---

Record 2
# PBE-GGA Sm2PuS, relaxed
data_Sm2PuS
_chemical_formula_sum 'Sm6 Pu3 S3'
_cell_length_a 3.7716
_cell_length_b 3.7716
_cell_length_c 27.9094
_cell_angle_alpha 90.00
_cell_angle_beta 90.00
_cell_angle_gamma 120.00
_symmetry_space_group_name_H-M 'R -3 m'
_symmetry_Int_Tables_number 166
_symmetry_space_group_name_Hall '-R 3 2"'
loop_
_atom_site_label
_atom_site_type_symbol
_atom_site_fract_x
_atom_site_fract_y
_atom_site_fract_z
_atom_site_occupancy
Sm1 Sm 0.0000 0.0000 0.2303 1
Pu1 Pu 0.0000 0.0000 0.0000 1
S1 S 0.0000 0.0000 0.5000 1
# E_tot = -7.766 eV per atom
# Energy relative to the elements, uncorrected = -0.791 eV per atom
# Volume = 343.8 Å³ per cell
# Total magnetic moment = 7.20 μB per formula unit

---

Record 3
# PBE-GGA Th2OsRu, relaxed
data_Th2OsRu
_chemical_formula_sum 'Th6 Os3 Ru3'
_cell_length_a 4.0611
_cell_length_b 4.0611
_cell_length_c 19.8582
_cell_angle_alpha 90.00
_cell_angle_beta 90.00
_cell_angle_gamma 120.00
_symmetry_space_group_name_H-M 'R -3 m'
_symmetry_Int_Tables_number 166
_symmetry_space_group_name_Hall '-R 3 2"'
loop_
_atom_site_label
_atom_site_type_symbol
_atom_site_fract_x
_atom_site_fract_y
_atom_site_fract_z
_atom_site_occupancy
Th1 Th 0.0000 0.0000 0.2502 1
Os1 Os 0.0000 0.0000 0.0000 1
Ru1 Ru 0.0000 0.0000 0.5000 1
# E_tot = -9.014 eV per atom
# ΔE to the lowest computed polymorph = 91.3 kJ/mol of formula units
# ΔH_f (0 K) = -0.18 eV per atom
# Volume = 283.6 Å³ per cell
# Total magnetic moment = 0.00 μB per formula unit

---

Record 4
# PBE-GGA Ga2AuBr, relaxed
data_Ga2AuBr
_chemical_formula_sum 'Ga6 Au3 Br3'
_cell_length_a 4.5481
_cell_length_b 4.5481
_cell_length_c 18.2615
_cell_angle_alpha 90.00
_cell_angle_beta 90.00
_cell_angle_gamma 120.00
_symmetry_space_group_name_H-M 'R -3 m'
_symmetry_Int_Tables_number 166
_symmetry_space_group_name_Hall '-R 3 2"'
loop_
_atom_site_label
_atom_site_type_symbol
_atom_site_fract_x
_atom_site_fract_y
_atom_site_fract_z
_atom_site_occupancy
Ga1 Ga 0.0000 0.0000 0.1413 1
Au1 Au 0.0000 0.0000 0.5000 1
Br1 Br 0.0000 0.0000 0.0000 1
# E_tot = -3.073 eV per atom
# ΔE to the lowest computed polymorph = 0.0 kJ/mol of formula units
# Energy relative to the elements, uncorrected = -0.322 eV per atom
# Volume = 327.1 Å³ per cell
# Total magnetic moment = 0.00 μB per formula unit

---

Record 5
# PBE-GGA Sn2Bi2Pd, relaxed
data_Sn2Bi2Pd
_chemical_formula_sum 'Sn4 Bi4 Pd2'
_cell_length_a 7.3939
_cell_length_b 7.3939
_cell_length_c 5.2319
_cell_angle_alpha 90.00
_cell_angle_beta 90.00
_cell_angle_gamma 90.00
_symmetry_space_group_name_H-M 'P 4/m b m'
_symmetry_Int_Tables_number 127
_symmetry_space_group_name_Hall '-P 4 2ab'
loop_
_atom_site_label
_atom_site_type_symbol
_atom_site_fract_x
_atom_site_fract_y
_atom_site_fract_z
_atom_site_occupancy
Sn1 Sn 0.1658 0.3342 0.0000 1
Bi1 Bi 0.1534 0.6534 0.5000 1
Pd1 Pd 0.0000 0.0000 0.5000 1
# E_tot = -4.109 eV per atom
# ΔE to the lowest computed polymorph = 36.4 kJ/mol of formula units
# ΔH_f (0 K) = 0.08 eV per atom
# Volume = 286.0 Å³ per cell
# Total magnetic moment = 0.00 μB per formula unit

---

Record 6
# PBE-GGA TbPr2Sm2Mg, relaxed
data_TbPr2Sm2Mg
_chemical_formula_sum 'Tb2 Pr4 Sm4 Mg2'
_cell_length_a 6.4805
_cell_length_b 6.9942
_cell_length_c 8.9735
_cell_angle_alpha 88.07
_cell_angle_beta 76.13
_cell_angle_gamma 83.26
_symmetry_space_group_name_H-M 'P -1'
_symmetry_Int_Tables_number 2
loop_
_symmetry_equiv_pos_as_xyz
'x,y,z'
'-x,-y,-z'
loop_
_atom_site_label
_atom_site_type_symbol
_atom_site_fract_x
_atom_site_fract_y
_atom_site_fract_z
_atom_site_occupancy
Tb1 Tb 0.2248 0.1106 0.4990 1
Pr1 Pr 0.1109 0.5080 0.1694 1
Pr2 Pr 0.4103 0.2419 0.8019 1
Sm1 Sm 0.1277 0.0082 0.1442 1
Sm2 Sm 0.3877 0.7422 0.8112 1
Mg1 Mg 0.2537 0.6001 0.5037 1
# E_tot = -4.164 eV per atom
# ΔH_f (0 K) = 0.04 eV per atom
# Volume = 392.1 Å³ per cell
# Total magnetic moment = 0.00 μB per formula unit